[1]
Here is a geometry-optimized DyTm2Pu structure from Alexandria via LeMat-Bulk. Energies are from GGA-PBE.

Output
- space group = No. 8
- Fermi-level density of states (states/eV/cell) = 10.5
- energy relative to the lowest polymorph listed for this composition (eV per atom) = 0.000
- M_tot (μB/cell) = 6.33
- energy relative to the elements (eV per formula unit) = 0.33

a b c (Å): 3.4365 6.0311 7.7912
angles (deg): 49.69 102.72 106.59
Closest atoms and distances in Å follow each position.
Element x y z (fractional)
Tm (0.9791, 0.8088, 0.5251)  4 Dy 3.42-3.52, 5 Tm 3.44-3.50, 3 Pu 3.44-3.50
Tm (0.2271, 0.5579, 0.2712)  5 Tm 3.44-3.50, 4 Pu 3.46-3.47, 3 Dy 3.47-3.52
Dy (0.4731, 0.3082, 0.0141)  7 Tm 3.42-3.52, 2 Dy 3.44, 3 Pu 3.44-3.49
Pu (0.7262, 0.0575, 0.7698)  2 Pu 3.44, 7 Tm 3.44-3.50, 3 Dy 3.44-3.49

[2]
Here is a geometry-optimized DyTmPu structure from Alexandria via LeMat-Bulk. Energies are from GGA-PBE.

Output
- space group = No. 107
- Fermi-level density of states (states/eV/cell) = 7.3
- energy relative to the lowest polymorph listed for this composition (eV per atom) = 0.000
- M_tot (μB/cell) = 6.12
- energy relative to the elements (eV per formula unit) = 0.31

a b c (Å): 3.4751 3.4751 7.7497
angles (deg): 102.96 102.96 90.00
Closest atoms and distances in Å follow each position.
Element x y z (fractional)
Pu (0.3326, 0.3326, 0.6653)  4 Tm 3.44, 4 Dy 3.46, 4 Pu 3.48
Dy (0.9980, 0.9980, 0.9961)  4 Pu 3.46, 4 Dy 3.48, 4 Tm 3.52
Tm (0.6693, 0.6693, 0.3386)  4 Pu 3.44, 4 Tm 3.48, 4 Dy 3.52

[3]
Here is a geometry-optimized Dy10Tm4Pu structure from Alexandria via LeMat-Bulk. Energies are from GGA-PBE.

Output
- space group = No. 139
- Fermi-level density of states (states/eV/cell) = 20.0
- M_tot (μB/cell) = 7.08
- energy relative to the elements (eV per formula unit) = 3.86

a b c (Å): 7.6233 8.7895 8.7895
angles (deg): 79.16 64.30 64.30
Closest atoms and distances in Å follow each position.
Element x y z (fractional)
Pu (0.0000, 0.0000, 0.0000)  8 Dy 3.20
Dy (0.2850, 0.2095, 0.7904)  1 Pu 3.20, 4 Dy 3.26-3.32, 4 Tm 3.40-3.47
Dy (0.7150, 0.7905, 0.2096)  1 Pu 3.20, 4 Dy 3.26-3.32, 4 Tm 3.40-3.47
Dy (0.4946, 0.7904, 0.7905)  1 Pu 3.20, 4 Dy 3.26-3.32, 4 Tm 3.40-3.47
Dy (0.9246, 0.7904, 0.7905)  1 Pu 3.20, 4 Dy 3.26-3.32, 4 Tm 3.40-3.47
Dy (0.7150, 0.2095, 0.7904)  1 Pu 3.20, 4 Dy 3.26-3.32, 4 Tm 3.40-3.47
Dy (0.0754, 0.2096, 0.2095)  1 Pu 3.20, 4 Dy 3.26-3.32, 4 Tm 3.40-3.47
Dy (0.2850, 0.7905, 0.2096)  1 Pu 3.20, 4 Dy 3.26-3.32, 4 Tm 3.40-3.47
Dy (0.5054, 0.2096, 0.2095)  1 Pu 3.20, 4 Dy 3.26-3.32, 4 Tm 3.40-3.47
Dy (0.7500, 0.5000, 0.5000)  4 Dy 3.26
Dy (0.2500, 0.5000, 0.5000)  4 Dy 3.26
Tm (0.2330, 0.9997, 0.5343)  8 Dy 3.40-3.47, 1 Pu 3.69
Tm (0.7673, 0.4657, 0.9997)  8 Dy 3.40-3.47, 1 Pu 3.69
Tm (0.2327, 0.5343, 0.0003)  8 Dy 3.40-3.47, 1 Pu 3.69
Tm (0.7670, 0.0003, 0.4657)  8 Dy 3.40-3.47, 1 Pu 3.69

[4]
Here is a geometry-optimized Dy4Tm3Pu structure from Alexandria via LeMat-Bulk. Energies are from GGA-PBE.

Output
- space group = No. 59
- Fermi-level density of states (states/eV/cell) = 34.6
- energy relative to the lowest polymorph listed for this composition (eV per atom) = 0.000
- M_tot (μB/cell) = 13.28
- energy relative to the elements (eV per formula unit) = 0.45

a b c (Å): 4.9335 9.8860 9.9302
angles (deg): 90.00 90.00 90.00
Closest atoms and distances in Å follow each position.
Element x y z (fractional)
Dy (0.0644, 0.1293, 0.2483)  1 Pu 3.46, 8 Dy 3.49-3.57, 3 Tm 3.49-3.52
Dy (0.0644, 0.8718, 0.5000)  2 Pu 3.47, 8 Dy 3.49-3.57, 2 Tm 3.51
Dy (0.5644, 0.8707, 0.2517)  1 Pu 3.46, 8 Dy 3.49-3.57, 3 Tm 3.49-3.52
Dy (0.5644, 0.1265, 0.5000)  8 Dy 3.51-3.53, 4 Tm 3.52
Dy (0.0644, 0.1293, 0.7517)  1 Pu 3.46, 8 Dy 3.49-3.57, 3 Tm 3.49-3.52
Dy (0.0644, 0.8735, 0.0000)  8 Dy 3.51-3.53, 4 Tm 3.52
Dy (0.5644, 0.8707, 0.7483)  1 Pu 3.46, 8 Dy 3.49-3.57, 3 Tm 3.49-3.52
Dy (0.5644, 0.1282, 0.0000)  2 Pu 3.47, 8 Dy 3.49-3.57, 2 Tm 3.51
Pu (0.0644, 0.3747, 0.0000)  8 Tm 3.46-3.50, 4 Dy 3.46-3.47
Pu (0.5644, 0.6253, 0.5000)  8 Tm 3.46-3.50, 4 Dy 3.46-3.47
Tm (0.5644, 0.3790, 0.7502)  5 Tm 3.44-3.50, 3 Pu 3.48-3.50, 4 Dy 3.49-3.52
Tm (0.0644, 0.6210, 0.2502)  5 Tm 3.44-3.50, 3 Pu 3.48-3.50, 4 Dy 3.49-3.52
Tm (0.5644, 0.3790, 0.2498)  5 Tm 3.44-3.50, 3 Pu 3.48-3.50, 4 Dy 3.49-3.52
Tm (0.0644, 0.6210, 0.7498)  5 Tm 3.44-3.50, 3 Pu 3.48-3.50, 4 Dy 3.49-3.52
Tm (0.0644, 0.3803, 0.5000)  6 Tm 3.44-3.50, 2 Pu 3.46, 4 Dy 3.52
Tm (0.5644, 0.6197, 0.0000)  6 Tm 3.44-3.50, 2 Pu 3.46, 4 Dy 3.52

Question: Which of these has the highest Fermi-level density of states?
Answer: Dy4Tm3Pu

Copy entry 2 word for word.
Here is a geometry-optimized DyTmPu structure from Alexandria via LeMat-Bulk. Energies are from GGA-PBE.

Output
- space group = No. 107
- Fermi-level density of states (states/eV/cell) = 7.3
- energy relative to the lowest polymorph listed for this composition (eV per atom) = 0.000
- M_tot (μB/cell) = 6.12
- energy relative to the elements (eV per formula unit) = 0.31

a b c (Å): 3.4751 3.4751 7.7497
angles (deg): 102.96 102.96 90.00
Closest atoms and distances in Å follow each position.
Element x y z (fractional)
Pu (0.3326, 0.3326, 0.6653)  4 Tm 3.44, 4 Dy 3.46, 4 Pu 3.48
Dy (0.9980, 0.9980, 0.9961)  4 Pu 3.46, 4 Dy 3.48, 4 Tm 3.52
Tm (0.6693, 0.6693, 0.3386)  4 Pu 3.44, 4 Tm 3.48, 4 Dy 3.52

Question: Which formula does entry 4 have?
Answer: Dy4Tm3Pu